(1)
! PBE LiTiZnGa, relaxed; values from VASP
! VASP energy ... -15.0 eV/f.u.
! Fermi-level density of states ... 7.0 states/eV/cell
! Relative energy among the computed polymorphs ... 6.6 kJ/mol of atoms
&SYSTEM
  ibrav = 0, nat = 16, ntyp = 4
/
ATOMIC_SPECIES
Li 6.94 Li.upf
Ti 47.87 Ti.upf
Zn 65.41 Zn.upf
Ga 69.72 Ga.upf
CELL_PARAMETERS angstrom
6.2430 0.0000 0.0000
0.0000 6.2430 0.0000
0.0000 0.0000 6.2430
ATOMIC_POSITIONS crystal
Li 0.0000 0.0000 0.0000
Li 0.0000 0.5000 0.5000
Li 0.5000 0.0000 0.5000
Li 0.5000 0.5000 0.0000
Ti 0.0000 0.0000 0.5000
Ti 0.0000 0.5000 0.0000
Ti 0.5000 0.0000 0.0000
Ti 0.5000 0.5000 0.5000
Zn 0.2500 0.2500 0.2500
Zn 0.2500 0.7500 0.7500
Zn 0.7500 0.2500 0.7500
Zn 0.7500 0.7500 0.2500
Ga 0.2500 0.2500 0.7500
Ga 0.2500 0.7500 0.2500
Ga 0.7500 0.2500 0.2500
Ga 0.7500 0.7500 0.7500



(2)
! PBE Pm2SnCl, relaxed; values from VASP
! VASP energy ... -19.2 eV/f.u.
! Fermi-level density of states ... 9.1 states/eV/cell
! Relative energy among the computed polymorphs ... 2.6 kJ/mol of atoms
! Formation energy without anion corrections ... -0.95 eV per atom
&SYSTEM
  ibrav = 0, nat = 12, ntyp = 3
/
ATOMIC_SPECIES
Pm 145.00 Pm.upf
Sn 118.71 Sn.upf
Cl 35.45 Cl.upf
CELL_PARAMETERS angstrom
4.6824 0.0000 0.0000
-2.3412 4.0551 0.0000
0.0000 0.0000 25.6007
ATOMIC_POSITIONS crystal
Pm 0.0000 0.0000 0.1071
Pm 0.0000 0.0000 0.8929
Pm 0.3333 0.6667 0.5596
Pm 0.3333 0.6667 0.7737
Pm 0.6667 0.3333 0.2263
Pm 0.6667 0.3333 0.4404
Sn 0.0000 0.0000 0.5000
Sn 0.3333 0.6667 0.1667
Sn 0.6667 0.3333 0.8333
Cl 0.0000 0.0000 0.0000
Cl 0.3333 0.6667 0.6667
Cl 0.6667 0.3333 0.3333



(3)
! PBE CeTlF5, relaxed; values from VASP
! VASP energy ... -40.2 eV/f.u.
! Fermi-level density of states ... 0.0 states/eV/cell
! Formation energy without anion corrections ... -3.21 eV per atom
&SYSTEM
  ibrav = 0, nat = 14, ntyp = 3
/
ATOMIC_SPECIES
Ce 140.12 Ce.upf
Tl 204.38 Tl.upf
F 19.00 F.upf
CELL_PARAMETERS angstrom
4.5781 0.0000 0.0000
0.0000 7.8640 0.0000
0.0000 0.0000 9.6769
ATOMIC_POSITIONS crystal
Ce 0.0000 0.0000 0.0000
Ce 0.5000 0.5000 0.5000
Tl 0.0000 0.0000 0.5000
Tl 0.5000 0.5000 0.0000
F 0.0000 0.0000 0.2189
F 0.0000 0.0000 0.7811
F 0.0000 0.2738 0.0000
F 0.0000 0.5000 0.5000
F 0.0000 0.7262 0.0000
F 0.5000 0.0000 0.0000
F 0.5000 0.2262 0.5000
F 0.5000 0.5000 0.2811
F 0.5000 0.5000 0.7189
F 0.5000 0.7738 0.5000